1.
The following is a DFT calculation (GGA-PBE) of an optimized crystal structure of P2SO2.

abc: 4.577 4.577 3.354
angles: 90.00 90.00 90.00
Space group P4/mmm (No. 123)
Inequivalent atoms, fractional coordinates:
P 0.000 0.500 0.000 [2 per cell]
S 0.000 0.000 0.000 [1 per cell]
O 0.000 0.000 0.500 [1 per cell]
O 0.500 0.500 0.500 [1 per cell]

Summary:
Crystal system: tetragonal
ΔE_f (raw): 0.920 eV/atom


2.
The following is a DFT calculation (GGA-PBE) of an optimized crystal structure of BaScTa3.

abc: 5.063 5.063 5.063
angles: 90.00 90.00 90.00
Space group Pm-3m (No. 221)
Inequivalent atoms, fractional coordinates:
Ba 0.000 0.000 0.000 [1 per cell]
Sc 0.500 0.500 0.500 [1 per cell]
Ta 0.000 0.500 0.500 [3 per cell]

Summary:
Energy above the lowest structure with this stoichiometry: 0 meV/atom
Crystal system: cubic
Energy of formation from the pure elements: 1.793 eV per atom


3.
The following is a DFT calculation (GGA-PBE) of an optimized crystal structure of CoNi2Ag.

abc: 2.639 2.639 7.292
angles: 90.00 90.00 90.00
Space group P4mm (No. 99)
Inequivalent atoms, fractional coordinates:
Co 0.000 0.000 0.000 [1 per cell]
Ni 0.000 0.000 0.439 [1 per cell]
Ni 0.500 0.500 0.215 [1 per cell]
Ag 0.500 0.500 0.716 [1 per cell]

Summary:
Energy above the lowest structure with this stoichiometry: 62 meV/atom
Crystal system: tetragonal
Energy of formation from the pure elements: 0.223 eV per atom


4.
The following is a DFT calculation (GGA-PBE) of an optimized crystal structure of LiZrNi2.

abc: 5.980 5.987 3.215
angles: 90.00 90.00 90.00
Space group Cmmm (No. 65)
Inequivalent atoms, fractional coordinates:
Li 0.000 0.000 0.000 [2 per cell]
Zr 0.000 0.500 0.000 [2 per cell]
Ni 0.250 0.250 0.500 [4 per cell]

Summary:
Crystal system: orthorhombic
Energy of formation from the pure elements: -0.155 eV per atom


5.
The following is a DFT calculation (GGA-PBE) of an optimized crystal structure of MgSe2O.

abc: 6.419 6.419 6.419
angles: 90.00 90.00 90.00
Space group Fm-3m (No. 225)
Inequivalent atoms, fractional coordinates:
Mg 0.000 0.000 0.000 [4 per cell]
Se 0.250 0.250 0.250 [8 per cell]
O 0.000 0.000 0.500 [4 per cell]

Summary:
Energy above the lowest structure with this stoichiometry: 525 meV/atom
Crystal system: cubic
ΔE_f (raw): 0.208 eV/atom


6.
The following is a DFT calculation (GGA-PBE) of an optimized crystal structure of NaSr3Sb.

abc: 6.419 6.419 6.419
angles: 90.00 90.00 90.00
Space group Pm-3m (No. 221)
Inequivalent atoms, fractional coordinates:
Na 0.000 0.000 0.000 [1 per cell]
Sr 0.000 0.500 0.500 [3 per cell]
Sb 0.500 0.500 0.500 [1 per cell]

Summary:
Energy above the lowest structure with this stoichiometry: 0 meV/atom
Crystal system: cubic
ΔE_f (raw): -0.355 eV/atom


7.
The following is a DFT calculation (GGA-PBE) of an optimized crystal structure of Rb2AgPI6.

abc: 8.6172 8.6172 20.4853
angles: 90.00 90.00 120.00
Space group R3 (No. 146, hexagonal axes)
Inequivalent atoms, fractional coordinates:
Rb 0.0000 0.0000 0.0000 [3 per cell]
Rb 0.0000 0.0000 0.4828 [3 per cell]
Ag 0.0000 0.0000 0.6747 [3 per cell]
P 0.0000 0.0000 0.2374 [3 per cell]
I 0.0263 0.5844 0.0045 [9 per cell]
I 0.1280 0.3734 0.8379 [9 per cell]

Summary:
Energy above the lowest structure with this stoichiometry: 0 meV/atom
Crystal system: trigonal
ΔE_f (raw): -0.633 eV/atom


8.
The following is a DFT calculation (GGA-PBE) of an optimized crystal structure of Ru2PtBr.

abc: 2.9085 2.9085 25.6072
angles: 90.00 90.00 120.00
Space group R-3m (No. 166, hexagonal axes)
Inequivalent atoms, fractional coordinates:
Ru 0.0000 0.0000 0.2484 [6 per cell]
Pt 0.0000 0.0000 0.0000 [3 per cell]
Br 0.0000 0.0000 0.5000 [3 per cell]

Summary:
Energy above the lowest structure with this stoichiometry: 181 meV/atom
Crystal system: trigonal
ΔE_f (raw): 0.622 eV/atom


9.
The following is a DFT calculation (GGA-PBE) of an optimized crystal structure of Ba4ZnSb4.

abc: 10.038 10.038 7.205
angles: 90.00 90.00 90.00
Space group P4_2/nmc (No. 137, origin choice 2)
Inequivalent atoms, fractional coordinates:
Ba 0.013 0.250 0.048 [8 per cell]
Zn 0.250 0.750 0.250 [2 per cell]
Sb 0.019 0.750 0.455 [8 per cell]

Summary:
Crystal system: tetragonal
ΔE_f (raw): -0.837 eV/atom


10.
The following is a DFT calculation (GGA-PBE) of an optimized crystal structure of Hf2Rh2Au.

abc: 7.723 7.723 3.098
angles: 90.00 90.00 90.00
Space group P4/mbm (No. 127)
Inequivalent atoms, fractional coordinates:
Hf 0.153 0.347 0.000 [4 per cell]
Rh 0.138 0.638 0.500 [4 per cell]
Au 0.000 0.000 0.000 [2 per cell]

Summary:
Energy above the lowest structure with this stoichiometry: 203 meV/atom
Crystal system: tetragonal
Energy of formation from the pure elements: -0.553 eV per atom


11.
The following is a DFT calculation (GGA-PBE) of an optimized crystal structure of TlIrOs.

abc: 2.836 5.072 14.582
angles: 90.00 90.00 90.00
Space group Fmm2 (No. 42)
Inequivalent atoms, fractional coordinates:
Tl 0.000 0.000 0.000 [4 per cell]
Ir 0.000 0.000 0.675 [4 per cell]
Os 0.000 0.000 0.325 [4 per cell]

Summary:
Energy above the lowest structure with this stoichiometry: 304 meV/atom
Crystal system: orthorhombic
Energy of formation from the pure elements: 0.900 eV per atom


12.
The following is a DFT calculation (GGA-PBE) of an optimized crystal structure of ScBe2.

abc: 5.288 4.057 7.492
angles: 90.00 90.00 90.00
Space group Pnma (No. 62)
Inequivalent atoms, fractional coordinates:
Sc 0.180 0.250 0.086 [4 per cell]
Be 0.009 0.250 0.712 [4 per cell]
Be 0.145 0.250 0.427 [4 per cell]

Summary:
Crystal system: orthorhombic
Energy of formation from the pure elements: 0.050 eV per atom


13.
The following is a DFT calculation (GGA-PBE) of an optimized crystal structure of LaYSiPd.

abc: 7.246 7.246 7.246
angles: 90.00 90.00 90.00
Space group F-43m (No. 216)
Inequivalent atoms, fractional coordinates:
La 0.000 0.000 0.000 [4 per cell]
Y 0.000 0.000 0.500 [4 per cell]
Si 0.250 0.250 0.750 [4 per cell]
Pd 0.250 0.250 0.250 [4 per cell]

Summary:
Crystal system: cubic
ΔE_f (raw): -0.673 eV/atom


14.
The following is a DFT calculation (GGA-PBE) of an optimized crystal structure of HgSb2Se.

abc: 3.728 4.755 5.801
angles: 90.00 90.00 90.00
Space group Pmmm (No. 47)
Inequivalent atoms, fractional coordinates:
Hg 0.000 0.000 0.000 [1 per cell]
Sb 0.000 0.500 0.500 [1 per cell]
Sb 0.500 0.500 0.000 [1 per cell]
Se 0.500 0.000 0.500 [1 per cell]

Summary:
Energy above the lowest structure with this stoichiometry: 165 meV/atom
Crystal system: orthorhombic
ΔE_f (raw): 0.162 eV/atom


15.
The following is a DFT calculation (GGA-PBE) of an optimized crystal structure of CsLi2GeRh.

abc: 5.230 5.230 4.711
angles: 90.00 90.00 90.00
Space group P4/mmm (No. 123)
Inequivalent atoms, fractional coordinates:
Cs 0.000 0.000 0.000 [1 per cell]
Li 0.000 0.500 0.500 [2 per cell]
Ge 0.500 0.500 0.000 [1 per cell]
Rh 0.500 0.500 0.500 [1 per cell]

Summary:
Crystal system: tetragonal
Energy of formation from the pure elements: -0.106 eV per atom


16.
The following is a DFT calculation (GGA-PBE) of an optimized crystal structure of Zn2CrRe.

abc: 8.768 2.618 4.832
angles: 90.00 95.97 90.00
Space group Cm (No. 8)
Inequivalent atoms, fractional coordinates:
Zn 0.000 0.000 0.000 [2 per cell]
Zn 0.248 0.000 0.784 [2 per cell]
Cr 0.003 0.500 0.496 [2 per cell]
Re 0.248 0.500 0.292 [2 per cell]

Summary:
Energy above the lowest structure with this stoichiometry: 119 meV/atom
Crystal system: monoclinic
Energy of formation from the pure elements: 0.229 eV per atom


17.
The following is a DFT calculation (GGA-PBE) of an optimized crystal structure of P2PbW.

abc: 3.139 3.139 7.445
angles: 90.00 90.00 90.00
Space group P4/mmm (No. 123)
Inequivalent atoms, fractional coordinates:
P 0.000 0.000 0.179 [2 per cell]
Pb 0.500 0.500 0.500 [1 per cell]
W 0.500 0.500 0.000 [1 per cell]

Summary:
Crystal system: tetragonal
Energy of formation from the pure elements: 0.017 eV per atom


18.
The following is a DFT calculation (GGA-PBE) of an optimized crystal structure of ZrTi3Fe2.

abc: 2.999 2.999 10.121
angles: 90.00 90.00 90.00
Space group P4/mmm (No. 123)
Inequivalent atoms, fractional coordinates:
Zr 0.000 0.000 0.000 [1 per cell]
Ti 0.500 0.500 0.212 [2 per cell]
Ti 0.500 0.500 0.500 [1 per cell]
Fe 0.000 0.000 0.354 [2 per cell]

Summary:
Crystal system: tetragonal
Energy of formation from the pure elements: -0.226 eV per atom


19.
The following is a DFT calculation (GGA-PBE) of an optimized crystal structure of ZrReGePb2.

abc: 5.289 5.289 5.116
angles: 90.00 90.00 90.00
Space group P4/mmm (No. 123)
Inequivalent atoms, fractional coordinates:
Zr 0.000 0.000 0.000 [1 per cell]
Re 0.500 0.500 0.000 [1 per cell]
Ge 0.000 0.000 0.500 [1 per cell]
Pb 0.000 0.500 0.500 [2 per cell]

Summary:
Crystal system: tetragonal
Energy of formation from the pure elements: 1.476 eV per atom


20.
The following is a DFT calculation (GGA-PBE) of an optimized crystal structure of NaSc2HgO.

abc: 4.360 4.360 4.745
angles: 90.00 90.00 90.00
Space group P4/mmm (No. 123)
Inequivalent atoms, fractional coordinates:
Na 0.000 0.000 0.000 [1 per cell]
Sc 0.000 0.500 0.500 [2 per cell]
Hg 0.500 0.500 0.000 [1 per cell]
O 0.000 0.000 0.500 [1 per cell]

Summary:
Crystal system: tetragonal
ΔE_f (raw): -1.225 eV/atom